No. 1
Ac5Sn4Pd | PBE-GGA | relaxed

```
data_Ac5Sn4Pd
_cell_length_a 3.8500
_cell_length_b 3.8500
_cell_length_c 22.0459
_cell_angle_alpha 90.00
_cell_angle_beta 90.00
_cell_angle_gamma 90.00
_space_group_name_H-M_alt 'P 4/m m m'
_space_group_IT_number 123
_space_group_name_Hall '-P 4 2'
loop_
_atom_site_label
_atom_site_type_symbol
_atom_site_fract_x
_atom_site_fract_y
_atom_site_fract_z
Ac1 Ac 0.0000 0.0000 0.0000
Ac2 Ac 0.0000 0.0000 0.2065
Ac3 Ac 0.0000 0.0000 0.4148
Sn1 Sn 0.5000 0.5000 0.1039
Sn2 Sn 0.5000 0.5000 0.3115
Pd1 Pd 0.5000 0.5000 0.5000
```



No. 2
Ac3SnPd8 | PBE-GGA | relaxed

```
data_Ac3SnPd8
_cell_length_a 5.6793
_cell_length_b 5.6793
_cell_length_c 27.5051
_cell_angle_alpha 90.00
_cell_angle_beta 90.00
_cell_angle_gamma 120.00
_space_group_name_H-M_alt 'R 3 m'
_space_group_IT_number 160
_space_group_name_Hall 'R 3 -2"'
loop_
_atom_site_label
_atom_site_type_symbol
_atom_site_fract_x
_atom_site_fract_y
_atom_site_fract_z
Ac1 Ac 0.0000 0.0000 0.0000
Ac2 Ac 0.0000 0.0000 0.1329
Ac3 Ac 0.0000 0.0000 0.6048
Sn1 Sn 0.0000 0.0000 0.4742
Pd1 Pd 0.0000 0.0000 0.3105
Pd2 Pd 0.0000 0.0000 0.8112
Pd3 Pd 0.0051 0.5025 0.5619
Pd4 Pd 0.1698 0.3396 0.3924
```



No. 3
AcSn2Pd4 | PBE-GGA | relaxed

```
data_AcSn2Pd4
_cell_length_a 17.3134
_cell_length_b 4.6589
_cell_length_c 7.2379
_cell_angle_alpha 90.00
_cell_angle_beta 90.00
_cell_angle_gamma 90.00
_space_group_name_H-M_alt 'P n m a'
_space_group_IT_number 62
_space_group_name_Hall '-P 2ac 2n'
loop_
_atom_site_label
_atom_site_type_symbol
_atom_site_fract_x
_atom_site_fract_y
_atom_site_fract_z
Ac1 Ac 0.1388 0.2500 0.1277
Sn1 Sn 0.0581 0.7500 0.7398
Sn2 Sn 0.2038 0.2500 0.6582
Pd1 Pd 0.0184 0.7500 0.1130
Pd2 Pd 0.0534 0.2500 0.5329
Pd3 Pd 0.1719 0.7500 0.4475
Pd4 Pd 0.2099 0.7500 0.8554
```



No. 4
Ac4SnPd2 | PBE-GGA | relaxed

```
data_Ac4SnPd2
_cell_length_a 9.8001
_cell_length_b 14.4371
_cell_length_c 14.5911
_cell_angle_alpha 90.00
_cell_angle_beta 90.00
_cell_angle_gamma 90.00
_space_group_name_H-M_alt 'F d d d'
_space_group_IT_number 70
loop_
_space_group_symop_operation_xyz
'x,y,z'
'-x,-y,-z'
'-x+1/4,-y+1/4,z'
'x+1/4,y+1/4,-z'
'x,-y+1/4,-z+1/4'
'-x,y+1/4,z+1/4'
'-x+1/4,y,-z+1/4'
'x+1/4,-y,z+1/4'
'x,y+1/2,z+1/2'
'-x,-y+1/2,-z+1/2'
'-x+1/4,-y+3/4,z+1/2'
'x+1/4,y+3/4,-z+1/2'
'x,-y+3/4,-z+3/4'
'-x,y+3/4,z+3/4'
'-x+1/4,y+1/2,-z+3/4'
'x+1/4,-y+1/2,z+3/4'
'x+1/2,y,z+1/2'
'-x+1/2,-y,-z+1/2'
'-x+3/4,-y+1/4,z+1/2'
'x+3/4,y+1/4,-z+1/2'
'x+1/2,-y+1/4,-z+3/4'
'-x+1/2,y+1/4,z+3/4'
'-x+3/4,y,-z+3/4'
'x+3/4,-y,z+3/4'
'x+1/2,y+1/2,z'
'-x+1/2,-y+1/2,-z'
'-x+3/4,-y+3/4,z'
'x+3/4,y+3/4,-z'
'x+1/2,-y+3/4,-z+1/4'
'-x+1/2,y+3/4,z+1/4'
'-x+3/4,y+1/2,-z+1/4'
'x+3/4,-y+1/2,z+1/4'
loop_
_atom_site_label
_atom_site_type_symbol
_atom_site_fract_x
_atom_site_fract_y
_atom_site_fract_z
Ac1 Ac 0.0449 0.2816 0.4653
Sn1 Sn 0.1250 0.1250 0.6250
Pd1 Pd 0.0000 0.0000 0.0000
```



No. 5
Ac8Sn3Pd | PBE-GGA | relaxed

```
data_Ac8Sn3Pd
_cell_length_a 7.8390
_cell_length_b 7.8390
_cell_length_c 15.7653
_cell_angle_alpha 90.00
_cell_angle_beta 90.00
_cell_angle_gamma 90.00
_space_group_name_H-M_alt 'I 4/m m m'
_space_group_IT_number 139
_space_group_name_Hall '-I 4 2'
loop_
_atom_site_label
_atom_site_type_symbol
_atom_site_fract_x
_atom_site_fract_y
_atom_site_fract_z
Ac1 Ac 0.2406 0.2406 0.1195
Sn1 Sn 0.0000 0.0000 0.5000
Sn2 Sn 0.0000 0.5000 0.2500
Pd1 Pd 0.0000 0.0000 0.0000
```



No. 6
Ac2Sn4Pd5 | PBE-GGA | relaxed

```
data_Ac2Sn4Pd5
_cell_length_a 6.1630
_cell_length_b 10.5723
_cell_length_c 16.1018
_cell_angle_alpha 90.00
_cell_angle_beta 90.00
_cell_angle_gamma 90.00
_space_group_name_H-M_alt 'F m m m'
_space_group_IT_number 69
_space_group_name_Hall '-F 2 2'
loop_
_atom_site_label
_atom_site_type_symbol
_atom_site_fract_x
_atom_site_fract_y
_atom_site_fract_z
Ac1 Ac 0.0000 0.0000 0.1418
Sn1 Sn 0.0000 0.1566 0.3716
Pd1 Pd 0.0000 0.0000 0.5000
Pd2 Pd 0.2500 0.2500 0.0000
Pd3 Pd 0.2500 0.2500 0.2500
```



One value per record, in order, for M_tot: 0.000, 0.000, 0.000, 0.000, 0.000, 0.000 μB/atom.
One value per record, in order, for VASP energy: -48.066, -199.266, -150.846, -277.897, -109.035, -230.311 eV/cell.